No. 1
# PBE LiNp2Ir4, relaxed
# Raw total energy, eV per atom: -9.127
# Energy of formation, eV/atom: -0.0933
# Space-group type: Cmce
data_LiNp2Ir4
_chemical_formula_sum 'Li2 Np4 Ir8'
_space_group_name_H-M_alt 'P 1'
_space_group_IT_number 1
_cell_length_a 6.307
_cell_length_b 6.307
_cell_length_c 7.966
_cell_angle_alpha 90.00
_cell_angle_beta 90.00
_cell_angle_gamma 53.98
loop_
_space_group_symop_operation_xyz
'x,y,z'
loop_
_atom_site_label
_atom_site_fract_x
_atom_site_fract_y
_atom_site_fract_z
Li1 0.000 0.000 0.000
Li2 0.500 0.500 0.500
Np1 0.137 0.137 0.500
Np2 0.363 0.363 0.000
Np3 0.637 0.637 0.000
Np4 0.863 0.863 0.500
Ir1 0.001 0.499 0.250
Ir2 0.249 0.751 0.749
Ir3 0.251 0.749 0.249
Ir4 0.499 0.001 0.750
Ir5 0.501 0.999 0.250
Ir6 0.749 0.251 0.751
Ir7 0.751 0.249 0.251
Ir8 0.999 0.501 0.750


No. 2
# PBE AlNi2Pd6, relaxed
# Raw total energy, eV per atom: -5.353
# Energy of formation, eV/atom: -0.1905
# Space-group type: C2/m
data_AlNi2Pd6
_chemical_formula_sum 'Al1 Ni2 Pd6'
_space_group_name_H-M_alt 'P 1'
_space_group_IT_number 1
_cell_length_a 5.188
_cell_length_b 5.188
_cell_length_c 7.490
_cell_angle_alpha 119.88
_cell_angle_beta 119.88
_cell_angle_gamma 50.60
loop_
_space_group_symop_operation_xyz
'x,y,z'
loop_
_atom_site_label
_atom_site_fract_x
_atom_site_fract_y
_atom_site_fract_z
Al1 0.000 0.000 0.000
Ni1 0.330 0.330 0.330
Ni2 0.670 0.670 0.670
Pd1 0.131 0.131 0.463
Pd2 0.200 0.200 0.874
Pd3 0.463 0.463 0.793
Pd4 0.537 0.537 0.207
Pd5 0.800 0.800 0.126
Pd6 0.869 0.869 0.537


No. 3
# PBE Cu12Pd5Pt2, relaxed
# Raw total energy, eV per atom: -4.616
# Energy of formation, eV/atom: -0.0264
# Space-group type: C2/m
data_Cu12Pd5Pt2
_chemical_formula_sum 'Cu12 Pd5 Pt2'
_space_group_name_H-M_alt 'P 1'
_space_group_IT_number 1
_cell_length_a 6.990
_cell_length_b 6.990
_cell_length_c 6.232
_cell_angle_alpha 90.28
_cell_angle_beta 90.28
_cell_angle_gamma 59.69
loop_
_space_group_symop_operation_xyz
'x,y,z'
loop_
_atom_site_label
_atom_site_fract_x
_atom_site_fract_y
_atom_site_fract_z
Cu1 0.057 0.057 0.336
Cu2 0.074 0.683 0.345
Cu3 0.156 0.530 0.750
Cu4 0.317 0.926 0.655
Cu5 0.406 0.406 0.108
Cu6 0.470 0.844 0.250
Cu7 0.530 0.156 0.750
Cu8 0.594 0.594 0.892
Cu9 0.683 0.074 0.345
Cu10 0.844 0.470 0.250
Cu11 0.926 0.317 0.655
Cu12 0.943 0.943 0.664
Pd1 0.201 0.201 0.993
Pd2 0.264 0.264 0.423
Pd3 0.500 0.500 0.500
Pd4 0.736 0.736 0.577
Pd5 0.799 0.799 0.007
Pt1 0.195 0.805 0.000
Pt2 0.805 0.195 0.000


No. 4
# PBE CuNiB2Te, relaxed
# Raw total energy, eV per atom: -3.136
# Formation energy from raw total energies, eV/atom: 2.139
# Space-group type: P4/mmm
data_CuNiB2Te
_chemical_formula_sum 'Cu1 Ni1 B2 Te1'
_space_group_name_H-M_alt 'P 1'
_space_group_IT_number 1
_cell_length_a 4.427
_cell_length_b 4.427
_cell_length_c 4.794
_cell_angle_alpha 90.00
_cell_angle_beta 90.00
_cell_angle_gamma 90.00
loop_
_space_group_symop_operation_xyz
'x,y,z'
loop_
_atom_site_label
_atom_site_fract_x
_atom_site_fract_y
_atom_site_fract_z
Cu1 0.000 0.000 0.000
Ni1 0.500 0.500 0.000
B1 0.000 0.500 0.500
B2 0.500 0.000 0.500
Te1 0.000 0.000 0.500


No. 5
# PBE Hf3TiRu, relaxed
# Raw total energy, eV per atom: -8.918
# Energy of formation, eV/atom: 0.4882
# Space-group type: Pm-3m
data_Hf3TiRu
_chemical_formula_sum 'Hf3 Ti1 Ru1'
_space_group_name_H-M_alt 'P 1'
_space_group_IT_number 1
_cell_length_a 4.930
_cell_length_b 4.930
_cell_length_c 4.930
_cell_angle_alpha 90.00
_cell_angle_beta 90.00
_cell_angle_gamma 90.00
loop_
_space_group_symop_operation_xyz
'x,y,z'
loop_
_atom_site_label
_atom_site_fract_x
_atom_site_fract_y
_atom_site_fract_z
Hf1 0.000 0.000 0.500
Hf2 0.000 0.500 0.000
Hf3 0.500 0.000 0.000
Ti1 0.500 0.500 0.500
Ru1 0.000 0.000 0.000


No. 6
# PBE Mo3AsPb, relaxed
# Raw total energy, eV per atom: -7.130
# Energy of formation, eV/atom: 1.0402
# Space-group type: Pm-3m
data_Mo3AsPb
_chemical_formula_sum 'Mo3 As1 Pb1'
_space_group_name_H-M_alt 'P 1'
_space_group_IT_number 1
_cell_length_a 4.667
_cell_length_b 4.667
_cell_length_c 4.667
_cell_angle_alpha 90.00
_cell_angle_beta 90.00
_cell_angle_gamma 90.00
loop_
_space_group_symop_operation_xyz
'x,y,z'
loop_
_atom_site_label
_atom_site_fract_x
_atom_site_fract_y
_atom_site_fract_z
Mo1 0.000 0.000 0.500
Mo2 0.000 0.500 0.000
Mo3 0.500 0.000 0.000
As1 0.000 0.000 0.000
Pb1 0.500 0.500 0.500


| no. | total magnetization (μB/f.u.) |
| --- | --- |
| 1 | 5.26 |
| 2 | 1.91 |
| 3 | 0.00 |
| 4 | 0.00 |
| 5 | 0.00 |
| 6 | 0.00 |